The following is a GGA-PBE calculation of crystalline Ba2BeCr at its relaxed geometry, from Alexandria.

Results
E_tot, eV/atom: -3.290
M_tot, μB/f.u.: 4.2
Volume, Å³ per cell: 560.9

Cell: 8.9414 8.9414 7.0158 Å, 90.00 90.00 90.00°
Space group I-42d (No. 122)
Asymmetric unit:
Ba: 0.2261 0.2500 0.1250 x8
Be: 0.0000 0.0000 0.0000 x4
Cr: 0.0000 0.0000 0.5000 x4